Run w
The following is a GGA-PBE calculation of crystalline ZrCuAg at its relaxed geometry, from the Alexandria database.

Cell: 4.5684 4.5684 2.8901 Å, 90.00 90.00 120.00°
Space group P-6m2 (No. 187)
Asymmetric unit:
Zr1 0.0000 0.0000 0.0000 [1 per cell]
Cu1 0.3333 0.6667 0.5000 [1 per cell]
Ag1 0.6667 0.3333 0.5000 [1 per cell]

Summary:
The density of states at the Fermi level comes out at 2.15 states/eV/cell. Its crystal system is hexagonal.

Run x
The following is a GGA-PBE calculation of crystalline ZrCuAg at its relaxed geometry, from the Alexandria database.

Cell: 6.3730 6.3730 6.3730 Å, 90.00 90.00 90.00°
Space group F-43m (No. 216)
Asymmetric unit:
Zr1 0.0000 0.0000 0.0000 [4 per cell]
Cu1 0.2500 0.2500 0.7500 [4 per cell]
Ag1 0.2500 0.2500 0.2500 [4 per cell]

Summary:
The density of states at the Fermi level comes out at 11.33 states/eV/cell. Its crystal system is cubic.

Which of them is the least stable? Correct choice: run x.

Run w
The following is a GGA-PBE calculation of crystalline Zr2CuAg at its relaxed geometry, from the Alexandria database.

Cell: 10.7636 3.0832 5.0213 Å, 90.00 113.93 90.00°
Space group Cm (No. 8)
Asymmetric unit:
Zr1 0.0000 0.0000 0.0000 [2 per cell]
Zr2 0.2290 0.0000 0.6551 [2 per cell]
Cu1 0.4851 0.0000 0.5049 [2 per cell]
Ag1 0.2706 0.5000 0.1939 [2 per cell]

Summary:
The density of states at the Fermi level comes out at 8.08 states/eV/cell. Its crystal system is monoclinic.

Run x
The following is a GGA-PBE calculation of crystalline Zr2CuAg at its relaxed geometry, from the Alexandria database.

Cell: 3.3993 3.3993 6.6062 Å, 90.00 90.00 90.00°
Space group P4mm (No. 99)
Asymmetric unit:
Zr1 0.0000 0.0000 0.0000 [1 per cell]
Zr2 0.5000 0.5000 0.2986 [1 per cell]
Cu1 0.5000 0.5000 0.7715 [1 per cell]
Ag1 0.0000 0.0000 0.5574 [1 per cell]

Summary:
The density of states at the Fermi level comes out at 2.58 states/eV/cell. Its crystal system is tetragonal.

Run y
The following is a GGA-PBE calculation of crystalline Zr2CuAg at its relaxed geometry, from the Alexandria database.

Cell: 2.9825 4.8587 5.2102 Å, 90.00 90.00 90.00°
Space group Pmm2 (No. 25)
Asymmetric unit:
Zr1 0.0000 0.0000 0.0000 [1 per cell]
Zr2 0.0000 0.5000 0.4057 [1 per cell]
Cu1 0.5000 0.0000 0.5179 [1 per cell]
Ag1 0.5000 0.5000 0.8810 [1 per cell]

Summary:
The density of states at the Fermi level comes out at 3.43 states/eV/cell. Its crystal system is orthorhombic.

Run z
The following is a GGA-PBE calculation of crystalline Zr2CuAg at its relaxed geometry, from the Alexandria database.

Cell: 4.2972 4.2972 4.0844 Å, 90.00 90.00 90.00°
Space group P4/mmm (No. 123)
Asymmetric unit:
Zr1 0.0000 0.5000 0.0000 [2 per cell]
Cu1 0.0000 0.0000 0.5000 [1 per cell]
Ag1 0.5000 0.5000 0.5000 [1 per cell]

Summary:
The density of states at the Fermi level comes out at 4.67 states/eV/cell. Its crystal system is tetragonal.

Which of them is the least stable? Correct choice: run w.

Run w
The following is a GGA-PBE calculation of crystalline Zr2CuAg at its relaxed geometry, from the Alexandria database.

Cell: 3.0437 3.0437 28.8212 Å, 90.00 90.00 120.00°
Space group R-3m (No. 166, hexagonal axes)
Asymmetric unit:
Zr1 0.0000 0.0000 0.2442 [6 per cell]
Cu1 0.0000 0.0000 0.5000 [3 per cell]
Ag1 0.0000 0.0000 0.0000 [3 per cell]

Summary:
The density of states at the Fermi level comes out at 17.22 states/eV/cell. Its crystal system is trigonal.

Run x
The following is a GGA-PBE calculation of crystalline Zr2CuAg at its relaxed geometry, from the Alexandria database.

Cell: 7.6414 7.6414 5.4767 Å, 90.00 90.00 90.00°
Space group I-42d (No. 122)
Asymmetric unit:
Zr1 0.2205 0.2500 0.1250 [8 per cell]
Cu1 0.0000 0.0000 0.0000 [4 per cell]
Ag1 0.0000 0.0000 0.5000 [4 per cell]

Summary:
The density of states at the Fermi level comes out at 16.90 states/eV/cell. Its crystal system is tetragonal.

Run y
The following is a GGA-PBE calculation of crystalline Zr2CuAg at its relaxed geometry, from the Alexandria database.

Cell: 6.7275 6.7275 6.7275 Å, 90.00 90.00 90.00°
Space group F-43m (No. 216)
Asymmetric unit:
Zr1 0.0000 0.0000 0.0000 [4 per cell]
Zr2 0.2500 0.2500 0.2500 [4 per cell]
Cu1 0.0000 0.0000 0.5000 [4 per cell]
Ag1 0.2500 0.2500 0.7500 [4 per cell]

Summary:
The density of states at the Fermi level comes out at 13.26 states/eV/cell. Its crystal system is cubic.

Run z
The following is a GGA-PBE calculation of crystalline Zr2CuAg at its relaxed geometry, from the Alexandria database.

Cell: 4.0909 4.0909 9.0248 Å, 90.00 90.00 90.00°
Space group I-4m2 (No. 119)
Asymmetric unit:
Zr1 0.0000 0.0000 0.0000 [2 per cell]
Zr2 0.0000 0.5000 0.2500 [2 per cell]
Cu1 0.0000 0.0000 0.5000 [2 per cell]
Ag1 0.0000 0.5000 0.7500 [2 per cell]

Summary:
The density of states at the Fermi level comes out at 6.64 states/eV/cell. Its crystal system is tetragonal.

Which of them is the least stable? Correct choice: run x.